A plane-wave DFT calculation with PBE-GGA was carried out for Sb3S3Br after structural relaxation.

```
data_Sb3S3Br
_cell_length_a 8.4954
_cell_length_b 8.4954
_cell_length_c 22.1160
_cell_angle_alpha 90.00
_cell_angle_beta 90.00
_cell_angle_gamma 120.00
_space_group_name_H-M_alt 'R -3'
_space_group_IT_number 148
_space_group_name_Hall '-R 3'
loop_
_atom_site_label
_atom_site_fract_x
_atom_site_fract_y
_atom_site_fract_z
Sb1 0.0234 0.7206 0.2307
S1 0.0000 0.3265 0.8809
Br1 0.0000 0.0000 0.3236
```

Results
- E_form (uncorrected): -0.090 eV/atom